Density functional theory data (meta-GGA SCAN) for a crystal of HfSc2HW relaxed with PBEsol.

Structure (POSCAR):
```
HfSc2HW
1.0
4.0934 0.0000 0.0000
0.0000 4.0934 0.0000
0.0000 0.0000 4.7439
Hf Sc H W
1 2 1 1
direct
0.0000 0.0000 0.0000
0.0000 0.5000 0.5000
0.5000 0.0000 0.5000
0.0000 0.0000 0.5000
0.5000 0.5000 0.0000
```

Results
**VASP energy**: -32.800 eV/atom
**Space-group type**: No. 123
**M_tot**: 0.00 μB/cell